First-principles (PBE) data for Co2BrCl after structural relaxation, as listed in Alexandria via LeMat-Bulk.

Values from the calculation:
Formation energy without anion corrections, eV/atom: 0.9219
E, eV per atom: -3.51

Cell: 4.5856 4.5856 4.5856 Å, 60.00 60.00 60.00°
Positions (direct):
Co  0.0000  0.0000  0.0000
Co  0.2500  0.2500  0.2500
Br  0.5000  0.5000  0.5000
Cl  0.7500  0.7500  0.7500